1.
First-principles (PBE-GGA) data for a geometry-optimized LiPbBr2 structure, as listed in Alexandria via LeMat-Bulk.

**Calculated volume**: 104 Å³ per cell
**Raw formation energy**: -756 meV/atom
**Magnetic moment**: 0.00 μB/f.u.
**Electronic total energy**: -3.00 eV per atom
**Space-group type**: P4/mmm, No. 123

Lattice parameters (Å, degrees): 3.5425 3.5425 8.2546 90.00 90.00 90.00
Last column: nearest neighbours and their distance in Å.
Sites, in units of the cell vectors:
Li (0.0000, 0.0000, 0.0000)  8 Br 3.02
Pb (0.0000, 0.0000, 0.5000)  8 Br 3.50, 4 Pb 3.54
Br (0.5000, 0.5000, 0.2045)  4 Li 3.02, 1 Br 3.38
Br (0.5000, 0.5000, 0.7955)  4 Li 3.02, 1 Br 3.38



2.
First-principles (PBE-GGA) data for a geometry-optimized Li2PbBr structure, as listed in Alexandria via LeMat-Bulk.

**Calculated volume**: 92 Å³ per cell
**Raw formation energy**: -469 meV/atom
**Magnetic moment**: 0.00 μB/f.u.
**Electronic total energy**: -2.77 eV per atom
**Space-group type**: P4/mmm, No. 123

Lattice parameters (Å, degrees): 5.2324 5.2324 3.3639 90.00 90.00 90.00
Last column: nearest neighbours and their distance in Å.
Sites, in units of the cell vectors:
Li (0.0000, 0.5000, 0.0000)  4 Br 3.11, 4 Pb 3.11, 2 Li 3.36
Li (0.5000, 0.0000, 0.0000)  4 Br 3.11, 4 Pb 3.11, 2 Li 3.36
Pb (0.0000, 0.0000, 0.5000)  8 Li 3.11, 2 Pb 3.36
Br (0.5000, 0.5000, 0.5000)  8 Li 3.11, 2 Br 3.36



3.
First-principles (PBE-GGA) data for a geometry-optimized LiPb2Br structure, as listed in Alexandria via LeMat-Bulk.

**Calculated volume**: 113 Å³ per cell
**Raw formation energy**: -195 meV/atom
**Magnetic moment**: 0.00 μB/f.u.
**Electronic total energy**: -2.95 eV per atom
**Space-group type**: I-4m2, No. 119

Lattice parameters (Å, degrees): 5.5121 5.5121 5.5121 123.03 123.03 84.83
Last column: nearest neighbours and their distance in Å.
Sites, in units of the cell vectors:
Li (0.0000, 0.0000, 0.0000)  8 Pb 3.32-3.72, 4 Br 3.32
Pb (0.2500, 0.7500, 0.5000)  4 Pb 3.32, 4 Li 3.32, 4 Br 3.72
Pb (0.5000, 0.5000, 0.0000)  4 Br 3.32, 4 Pb 3.32, 4 Li 3.72
Br (0.7500, 0.2500, 0.5000)  8 Pb 3.32-3.72, 4 Li 3.32



4.
First-principles (PBE-GGA) data for a geometry-optimized LiPb4Br structure, as listed in Alexandria via LeMat-Bulk.

**Calculated volume**: 197 Å³ per cell
**Raw formation energy**: -2 meV/atom
**Magnetic moment**: 0.00 μB/f.u.
**Electronic total energy**: -3.07 eV per atom
**Space-group type**: F-43m, No. 216

Lattice parameters (Å, degrees): 6.5276 6.5276 6.5276 60.00 60.00 60.00
Last column: nearest neighbours and their distance in Å.
Sites, in units of the cell vectors:
Li (0.0000, 0.0000, 0.0000)  12 Pb 3.82, 4 Br 4.00
Pb (0.1222, 0.6259, 0.6259)  6 Pb 3.24-3.29
Pb (0.6259, 0.1222, 0.6259)  6 Pb 3.24-3.29
Pb (0.6259, 0.6259, 0.1222)  6 Pb 3.24-3.29
Pb (0.6259, 0.6259, 0.6259)  6 Pb 3.24-3.29
Br (0.2500, 0.2500, 0.2500)  12 Pb 3.83, 4 Li 4.00



5.
First-principles (PBE-GGA) data for a geometry-optimized Li2PbBr structure, as listed in Alexandria via LeMat-Bulk.

**Calculated volume**: 96 Å³ per cell
**Raw formation energy**: -361 meV/atom
**Magnetic moment**: 0.00 μB/f.u.
**Electronic total energy**: -2.66 eV per atom
**Space-group type**: I4/mmm, No. 139

Lattice parameters (Å, degrees): 5.5394 5.5394 5.5394 130.65 130.65 72.38
Last column: nearest neighbours and their distance in Å.
Sites, in units of the cell vectors:
Li (0.2500, 0.7500, 0.5000)  4 Br 3.22, 4 Pb 3.22, 4 Li 3.27
Li (0.7500, 0.2500, 0.5000)  4 Br 3.22, 4 Pb 3.22, 4 Li 3.27
Pb (0.0000, 0.0000, 0.0000)  8 Li 3.22, 4 Br 3.27
Br (0.5000, 0.5000, 0.0000)  8 Li 3.22, 4 Pb 3.27



6.
First-principles (PBE-GGA) data for a geometry-optimized Li2PbBr structure, as listed in Alexandria via LeMat-Bulk.

**Calculated volume**: 96 Å³ per cell
**Raw formation energy**: -693 meV/atom
**Magnetic moment**: 0.00 μB/f.u.
**Electronic total energy**: -2.99 eV per atom
**Space-group type**: P2/m, No. 10

Lattice parameters (Å, degrees): 3.5676 3.4236 7.9417 90.00 98.37 90.00
Last column: nearest neighbours and their distance in Å.
Sites, in units of the cell vectors:
Li (0.1178, 0.0000, 0.2776)  2 Br 2.54
Li (0.8822, 0.0000, 0.7224)  2 Br 2.54
Pb (0.5000, 0.5000, 0.0000)  8 Li 3.24-3.35, 4 Pb 3.42-3.57
Br (0.0000, 0.5000, 0.5000)  4 Li 2.54



7.
First-principles (PBE-GGA) data for a geometry-optimized LiPb2Br structure, as listed in Alexandria via LeMat-Bulk.

**Calculated volume**: 130 Å³ per cell
**Raw formation energy**: -615 meV/atom
**Magnetic moment**: 0.00 μB/f.u.
**Electronic total energy**: -3.37 eV per atom
**Space-group type**: P4mm, No. 99

Lattice parameters (Å, degrees): 3.5635 3.5635 10.2329 90.00 90.00 90.00
Last column: nearest neighbours and their distance in Å.
Sites, in units of the cell vectors:
Li (0.0000, 0.0000, 0.0000)  4 Br 2.53
Pb (0.0000, 0.0000, 0.6459)  8 Pb 3.41-3.56, 1 Li 3.62
Pb (0.5000, 0.5000, 0.4218)  8 Pb 3.41-3.56
Br (0.5000, 0.5000, 0.0214)  4 Li 2.53



8.
First-principles (PBE-GGA) data for a geometry-optimized LiPb2Br4 structure, as listed in Alexandria via LeMat-Bulk.

**Calculated volume**: 207 Å³ per cell
**Raw formation energy**: -797 meV/atom
**Magnetic moment**: 0.00 μB/f.u.
**Electronic total energy**: -3.09 eV per atom
**Space-group type**: I4/mmm, No. 139

Lattice parameters (Å, degrees): 8.9388 8.9388 8.9388 147.38 147.38 46.81
Last column: nearest neighbours and their distance in Å.
Sites, in units of the cell vectors:
Li (0.0000, 0.0000, 0.0000)  4 Br 2.51
Pb (0.3612, 0.3612, 0.0000)  1 Br 2.97
Pb (0.6388, 0.6388, 0.0000)  1 Br 2.97
Br (0.0000, 0.5000, 0.5000)  2 Li 2.51
Br (0.1802, 0.1802, 0.0000)  1 Li 2.96, 1 Pb 2.97
Br (0.5000, 0.0000, 0.5000)  2 Li 2.51
Br (0.8198, 0.8198, 0.0000)  1 Li 2.96, 1 Pb 2.97